Here is BaLiMg2 after structural relaxation from Alexandria via LeMat-Bulk. Energies are from GGA-PBE.

Energy relative to the elements = 0.1169 eV per atom
Fermi-level density of states = 3.2 states/eV per cell
Excess energy over the best structure of this formula in the dataset = 162 meV/atom
Space group = Pmmm

Cell lengths 4.910, 4.990, 5.483 Å; angles 90.00, 90.00, 90.00 degrees
Element x y z (fractional)
Ba (0.500, 0.000, 0.500)
Li (0.000, 0.500, 0.500)
Mg (0.000, 0.000, 0.000)
Mg (0.500, 0.500, 0.000)